Entry 1:
Density functional theory data (PBE-GGA) for an optimized crystal structure of MgZrTiRh.

a b c (Å): 4.646 4.646 4.646
angles (deg): 60.00 60.00 60.00
Element x y z (fractional)
Mg (0.000, 0.000, 0.000)
Zr (0.500, 0.500, 0.500)
Ti (0.250, 0.250, 0.250)
Rh (0.750, 0.750, 0.750)

Density of states at the Fermi level   1.415 states/eV/atom
ρ   6.24 g cm⁻³
Calculated formation energy   -88 kJ/mol of formula units
Space group   F-43m, No. 216

***

Entry 2:
Density functional theory data (PBE-GGA) for an optimized crystal structure of HfPaNbPd.

a b c (Å): 4.865 4.865 4.865
angles (deg): 60.00 60.00 60.00
Element x y z (fractional)
Hf (0.000, 0.000, 0.000)
Pa (0.500, 0.500, 0.500)
Nb (0.250, 0.250, 0.250)
Pd (0.750, 0.750, 0.750)

Density of states at the Fermi level   0.906 states/eV/atom
ρ   12.42 g cm⁻³
Calculated formation energy   -86 kJ/mol of formula units
Space group   F-43m, No. 216

***

Entry 3:
Density functional theory data (PBE-GGA) for an optimized crystal structure of TaTeP2.

a b c (Å): 8.923 8.923 8.923
angles (deg): 20.83 20.83 20.83
Element x y z (fractional)
Ta (0.000, 0.000, 0.000)
Te (0.253, 0.253, 0.253)
P (0.464, 0.464, 0.464)
P (0.741, 0.741, 0.741)

Density of states at the Fermi level   0.520 states/eV/atom
ρ   7.82 g cm⁻³
Space group   R3m, No. 160

***

Entry 4:
Density functional theory data (PBE-GGA) for an optimized crystal structure of TiTlHgC2.

a b c (Å): 4.237 4.237 5.699
angles (deg): 90.00 90.00 90.00
Element x y z (fractional)
Ti (0.000, 0.000, 0.000)
Tl (0.500, 0.500, 0.000)
Hg (0.500, 0.500, 0.500)
C (0.000, 0.500, 0.500)
C (0.500, 0.000, 0.500)

Density of states at the Fermi level   1.121 states/eV/atom
ρ   7.74 g cm⁻³
Calculated formation energy   1235 kJ/mol of formula units
Space group   P4/mmm, No. 123

***

Entry 5:
Density functional theory data (PBE-GGA) for an optimized crystal structure of Pr2Nd4Tl3H2.

a b c (Å): 13.220 13.220 13.220
angles (deg): 158.58 158.58 30.47
Element x y z (fractional)
Pr (0.199, 0.199, 0.000)
Pr (0.801, 0.801, 0.000)
Nd (0.084, 0.584, 0.500)
Nd (0.416, 0.916, 0.500)
Nd (0.584, 0.084, 0.500)
Nd (0.916, 0.416, 0.500)
Tl (0.327, 0.327, 0.000)
Tl (0.500, 0.500, 0.000)
Tl (0.673, 0.673, 0.000)
H (0.103, 0.103, 0.000)
H (0.897, 0.897, 0.000)

Density of states at the Fermi level   0.896 states/eV/atom
ρ   7.95 g cm⁻³
Space group   I4/mmm, No. 139

***

Entry 6:
Density functional theory data (PBE-GGA) for an optimized crystal structure of PrB2Cl.

a b c (Å): 3.355 3.493 11.619
angles (deg): 90.00 90.42 90.00
Element x y z (fractional)
Pr (0.243, 0.250, 0.306)
Pr (0.757, 0.750, 0.694)
B (0.188, 0.250, 0.555)
B (0.323, 0.750, 0.499)
B (0.677, 0.250, 0.501)
B (0.812, 0.750, 0.445)
Cl (0.254, 0.250, 0.846)
Cl (0.746, 0.750, 0.154)

Density of states at the Fermi level   0.141 states/eV/atom
ρ   4.83 g cm⁻³
Space group   P2_1/m, No. 11

***

It is found that the electronic total energy values, taken in the order of the records, are -26.30 -35.60 -25.29 -16.21 -45.72 -46.05 eV for the cell shown.